Here is an optimized crystal structure of KLiMoI6 from the Alexandria database. Energies are from GGA-PBE.

```
18
Lattice="7.493 0.000 0.000 -3.747 6.489 0.000 0.000 0.000 15.430" Properties=species:S:1:pos:R:3 pbc="T T T"
K 0.000 0.000 0.000
K 0.000 0.000 7.715
Li 0.000 4.326 3.858
Li 3.747 2.163 11.573
Mo 0.000 4.326 11.573
Mo 3.747 2.163 3.858
I -1.283 2.453 9.965
I -2.264 4.152 13.180
I 1.283 2.453 13.180
I -0.981 6.374 9.965
I 2.766 0.115 2.250
I 1.483 2.338 5.465
I 2.264 4.152 9.965
I 0.981 6.374 13.180
I 4.727 0.115 5.465
I 2.464 4.036 2.250
I 6.010 2.338 2.250
I 5.030 4.036 5.465
```

Calculated values
**E_form (uncorrected)**: -0.640 eV per atom